Entry 1:
Computed, not measured: an optimized crystal structure of Ac3Tl2Pd2 at the PBE-GGA level of DFT.

Cell and atoms, written as CIF:
```
data_Ac3Tl2Pd2
_chemical_formula_sum 'Ac3 Tl2 Pd2'
_space_group_name_H-M_alt 'P 1'
_space_group_IT_number 1
_cell_length_a 4.3134
_cell_length_b 4.0790
_cell_length_c 12.2938
_cell_angle_alpha 90.00
_cell_angle_beta 79.90
_cell_angle_gamma 90.00
loop_
_space_group_symop_operation_xyz
'x,y,z'
loop_
_atom_site_label
_atom_site_type_symbol
_atom_site_fract_x
_atom_site_fract_y
_atom_site_fract_z
_atom_site_occupancy
Ac1 Ac 0.8265 0.0000 0.3470 1
Ac2 Ac 0.0000 0.0000 0.0000 1
Ac3 Ac 0.1735 0.0000 0.6530 1
Tl1 Tl 0.5850 0.5000 0.8299 1
Tl2 Tl 0.4150 0.5000 0.1701 1
Pd1 Pd 0.7124 0.5000 0.5752 1
Pd2 Pd 0.2876 0.5000 0.4248 1
```

Calculated values
Its space group is Cmmm (65). For the total energy, the calculation gives -4.541 eV/atom. The calculation puts the energy of formation from the pure elements at -620 meV/atom.

Entry 2:
Computed, not measured: an optimized crystal structure of Ac2Tl8Pd at the PBE-GGA level of DFT.

Cell and atoms, written as CIF:
```
data_Ac2Tl8Pd
_chemical_formula_sum 'Ac2 Tl8 Pd1'
_space_group_name_H-M_alt 'P 1'
_space_group_IT_number 1
_cell_length_a 4.9715
_cell_length_b 4.9715
_cell_length_c 13.1168
_cell_angle_alpha 90.00
_cell_angle_beta 90.00
_cell_angle_gamma 90.00
loop_
_space_group_symop_operation_xyz
'x,y,z'
loop_
_atom_site_label
_atom_site_type_symbol
_atom_site_fract_x
_atom_site_fract_y
_atom_site_fract_z
_atom_site_occupancy
Ac1 Ac 0.0000 0.0000 0.3027 1
Ac2 Ac 0.0000 0.0000 0.6973 1
Tl1 Tl 0.0000 0.5000 0.5000 1
Tl2 Tl 0.5000 0.0000 0.5000 1
Tl3 Tl 0.5000 0.5000 0.3115 1
Tl4 Tl 0.5000 0.5000 0.6885 1
Tl5 Tl 0.0000 0.5000 0.1186 1
Tl6 Tl 0.5000 0.0000 0.1186 1
Tl7 Tl 0.0000 0.5000 0.8814 1
Tl8 Tl 0.5000 0.0000 0.8814 1
Pd1 Pd 0.0000 0.0000 0.0000 1
```

Calculated values
Its space group is P4/mmm (123). For the total energy, the calculation gives -3.208 eV/atom. The calculation puts the energy of formation from the pure elements at -268 meV/atom.

Entry 3:
Computed, not measured: an optimized crystal structure of Ac2TlPd6 at the PBE-GGA level of DFT.

Cell and atoms, written as CIF:
```
data_Ac2TlPd6
_chemical_formula_sum 'Ac2 Tl1 Pd6'
_space_group_name_H-M_alt 'P 1'
_space_group_IT_number 1
_cell_length_a 5.9731
_cell_length_b 5.9568
_cell_length_c 6.5037
_cell_angle_alpha 78.40
_cell_angle_beta 90.00
_cell_angle_gamma 120.09
loop_
_space_group_symop_operation_xyz
'x,y,z'
loop_
_atom_site_label
_atom_site_type_symbol
_atom_site_fract_x
_atom_site_fract_y
_atom_site_fract_z
_atom_site_occupancy
Ac1 Ac 0.6379 0.2758 0.1886 1
Ac2 Ac 0.3621 0.7242 0.8114 1
Tl1 Tl 0.0000 0.0000 0.0000 1
Pd1 Pd 0.8715 0.2775 0.6754 1
Pd2 Pd 0.8782 0.7565 0.6720 1
Pd3 Pd 0.4059 0.2775 0.6754 1
Pd4 Pd 0.1285 0.7225 0.3246 1
Pd5 Pd 0.1218 0.2435 0.3280 1
Pd6 Pd 0.5941 0.7225 0.3246 1
```

Calculated values
The energy above the most stable polymorph in this dataset is 43 meV/atom. Its space group is C2/m (12). For the total energy, the calculation gives -5.270 eV/atom. The calculation puts the energy of formation from the pure elements at -633 meV/atom.

Entry 4:
Computed, not measured: an optimized crystal structure of Ac4TlPd2 at the PBE-GGA level of DFT.

Cell and atoms, written as CIF:
```
data_Ac4TlPd2
_chemical_formula_sum 'Ac8 Tl2 Pd4'
_space_group_name_H-M_alt 'P 1'
_space_group_IT_number 1
_cell_length_a 5.1888
_cell_length_b 7.8568
_cell_length_c 11.3383
_cell_angle_alpha 90.00
_cell_angle_beta 90.00
_cell_angle_gamma 90.00
loop_
_space_group_symop_operation_xyz
'x,y,z'
loop_
_atom_site_label
_atom_site_type_symbol
_atom_site_fract_x
_atom_site_fract_y
_atom_site_fract_z
_atom_site_occupancy
Ac1 Ac 0.0000 0.8827 0.8125 1
Ac2 Ac 0.0000 0.1173 0.1875 1
Ac3 Ac 0.0000 0.3827 0.6875 1
Ac4 Ac 0.0000 0.6173 0.3125 1
Ac5 Ac 0.5000 0.7416 0.5679 1
Ac6 Ac 0.5000 0.2584 0.4321 1
Ac7 Ac 0.5000 0.7584 0.0679 1
Ac8 Ac 0.5000 0.2416 0.9321 1
Tl1 Tl 0.0000 0.0000 0.5000 1
Tl2 Tl 0.0000 0.5000 0.0000 1
Pd1 Pd 0.5000 0.1022 0.6827 1
Pd2 Pd 0.5000 0.8978 0.3173 1
Pd3 Pd 0.5000 0.6022 0.8173 1
Pd4 Pd 0.5000 0.3978 0.1827 1
```

Calculated values
The energy above the most stable polymorph in this dataset is 0 meV/atom. Its space group is Pbam (55). For the total energy, the calculation gives -4.667 eV/atom. The calculation puts the energy of formation from the pure elements at -497 meV/atom.

Entry 5:
Computed, not measured: an optimized crystal structure of Ac2Tl3Pd9 at the PBE-GGA level of DFT.

Cell and atoms, written as CIF:
```
data_Ac2Tl3Pd9
_chemical_formula_sum 'Ac4 Tl6 Pd18'
_space_group_name_H-M_alt 'P 1'
_space_group_IT_number 1
_cell_length_a 8.3438
_cell_length_b 8.3438
_cell_length_c 9.4859
_cell_angle_alpha 90.00
_cell_angle_beta 90.00
_cell_angle_gamma 119.98
loop_
_space_group_symop_operation_xyz
'x,y,z'
loop_
_atom_site_label
_atom_site_type_symbol
_atom_site_fract_x
_atom_site_fract_y
_atom_site_fract_z
_atom_site_occupancy
Ac1 Ac 0.6678 0.9767 0.2500 1
Ac2 Ac 0.3322 0.0233 0.7500 1
Ac3 Ac 0.9767 0.6678 0.2500 1
Ac4 Ac 0.0233 0.3322 0.7500 1
Tl1 Tl 0.0000 0.0000 0.0000 1
Tl2 Tl 0.0000 0.0000 0.5000 1
Tl3 Tl 0.3136 0.6864 0.0000 1
Tl4 Tl 0.6864 0.3136 0.5000 1
Tl5 Tl 0.6864 0.3136 0.0000 1
Tl6 Tl 0.3136 0.6864 0.5000 1
Pd1 Pd 0.1574 0.1574 0.2500 1
Pd2 Pd 0.8426 0.8426 0.7500 1
Pd3 Pd 0.3380 0.3380 0.5325 1
Pd4 Pd 0.6620 0.6620 0.0325 1
Pd5 Pd 0.3380 0.3380 0.9675 1
Pd6 Pd 0.6620 0.6620 0.4675 1
Pd7 Pd 0.5480 0.3628 0.2500 1
Pd8 Pd 0.4520 0.6372 0.7500 1
Pd9 Pd 0.3628 0.5480 0.2500 1
Pd10 Pd 0.6372 0.4520 0.7500 1
Pd11 Pd 0.3447 0.0194 0.0942 1
Pd12 Pd 0.6553 0.9806 0.5942 1
Pd13 Pd 0.0194 0.3447 0.4058 1
Pd14 Pd 0.9806 0.6553 0.9058 1
Pd15 Pd 0.6553 0.9806 0.9058 1
Pd16 Pd 0.3447 0.0194 0.4058 1
Pd17 Pd 0.9806 0.6553 0.5942 1
Pd18 Pd 0.0194 0.3447 0.0942 1
```

Calculated values
Its space group is Cmcm (63). For the total energy, the calculation gives -4.929 eV/atom. The calculation puts the energy of formation from the pure elements at -497 meV/atom.

Entry 6:
Computed, not measured: an optimized crystal structure of Ac2TlPd3 at the PBE-GGA level of DFT.

Cell and atoms, written as CIF:
```
data_Ac2TlPd3
_chemical_formula_sum 'Ac8 Tl4 Pd12'
_space_group_name_H-M_alt 'P 1'
_space_group_IT_number 1
_cell_length_a 4.1983
_cell_length_b 7.7239
_cell_length_c 18.6807
_cell_angle_alpha 90.00
_cell_angle_beta 90.00
_cell_angle_gamma 90.00
loop_
_space_group_symop_operation_xyz
'x,y,z'
loop_
_atom_site_label
_atom_site_type_symbol
_atom_site_fract_x
_atom_site_fract_y
_atom_site_fract_z
_atom_site_occupancy
Ac1 Ac 0.2500 0.6490 0.5725 1
Ac2 Ac 0.7500 0.8510 0.0725 1
Ac3 Ac 0.2500 0.1490 0.9275 1
Ac4 Ac 0.7500 0.3510 0.4275 1
Ac5 Ac 0.2500 0.6077 0.7873 1
Ac6 Ac 0.7500 0.8923 0.2873 1
Ac7 Ac 0.2500 0.1077 0.7127 1
Ac8 Ac 0.7500 0.3923 0.2127 1
Tl1 Tl 0.2500 0.9774 0.4328 1
Tl2 Tl 0.7500 0.5226 0.9328 1
Tl3 Tl 0.2500 0.4774 0.0672 1
Tl4 Tl 0.7500 0.0226 0.5672 1
Pd1 Pd 0.2500 0.7641 0.9449 1
Pd2 Pd 0.7500 0.7359 0.4449 1
Pd3 Pd 0.2500 0.2641 0.5551 1
Pd4 Pd 0.7500 0.2359 0.0551 1
Pd5 Pd 0.2500 0.0906 0.1568 1
Pd6 Pd 0.7500 0.4094 0.6568 1
Pd7 Pd 0.2500 0.5906 0.3432 1
Pd8 Pd 0.7500 0.9094 0.8432 1
Pd9 Pd 0.2500 0.7097 0.1892 1
Pd10 Pd 0.7500 0.7903 0.6892 1
Pd11 Pd 0.2500 0.2097 0.3108 1
Pd12 Pd 0.7500 0.2903 0.8108 1
```

Calculated values
The energy above the most stable polymorph in this dataset is 0 meV/atom. Its space group is Pnma (62). For the total energy, the calculation gives -5.049 eV/atom. The calculation puts the energy of formation from the pure elements at -689 meV/atom.

Entry 7:
Computed, not measured: an optimized crystal structure of Ac2Tl2Pd15 at the PBE-GGA level of DFT.

Cell and atoms, written as CIF:
```
data_Ac2Tl2Pd15
_chemical_formula_sum 'Ac2 Tl2 Pd15'
_space_group_name_H-M_alt 'P 1'
_space_group_IT_number 1
_cell_length_a 7.1554
_cell_length_b 7.1554
_cell_length_c 7.1554
_cell_angle_alpha 81.90
_cell_angle_beta 81.90
_cell_angle_gamma 81.90
loop_
_space_group_symop_operation_xyz
'x,y,z'
loop_
_atom_site_label
_atom_site_type_symbol
_atom_site_fract_x
_atom_site_fract_y
_atom_site_fract_z
_atom_site_occupancy
Ac1 Ac 0.3507 0.3507 0.3507 1
Ac2 Ac 0.6493 0.6493 0.6493 1
Tl1 Tl 0.1042 0.1042 0.1042 1
Tl2 Tl 0.8958 0.8958 0.8958 1
Pd1 Pd 0.5000 0.0000 0.0000 1
Pd2 Pd 0.0000 0.0000 0.5000 1
Pd3 Pd 0.0000 0.5000 0.0000 1
Pd4 Pd 0.0000 0.6968 0.3032 1
Pd5 Pd 0.6968 0.3032 0.0000 1
Pd6 Pd 0.3032 0.0000 0.6968 1
Pd7 Pd 0.3032 0.6968 0.0000 1
Pd8 Pd 0.6968 0.0000 0.3032 1
Pd9 Pd 0.0000 0.3032 0.6968 1
Pd10 Pd 0.1580 0.6506 0.6506 1
Pd11 Pd 0.6506 0.6506 0.1580 1
Pd12 Pd 0.6506 0.1580 0.6506 1
Pd13 Pd 0.8420 0.3494 0.3494 1
Pd14 Pd 0.3494 0.3494 0.8420 1
Pd15 Pd 0.3494 0.8420 0.3494 1
```

Calculated values
Its space group is R-3m (166). For the total energy, the calculation gives -5.157 eV/atom. The calculation puts the energy of formation from the pure elements at -376 meV/atom.

Entry 8:
Computed, not measured: an optimized crystal structure of Ac2Tl3Pd2 at the PBE-GGA level of DFT.

Cell and atoms, written as CIF:
```
data_Ac2Tl3Pd2
_chemical_formula_sum 'Ac2 Tl3 Pd2'
_space_group_name_H-M_alt 'P 1'
_space_group_IT_number 1
_cell_length_a 4.1706
_cell_length_b 4.3897
_cell_length_c 11.1664
_cell_angle_alpha 101.34
_cell_angle_beta 90.00
_cell_angle_gamma 90.00
loop_
_space_group_symop_operation_xyz
'x,y,z'
loop_
_atom_site_label
_atom_site_type_symbol
_atom_site_fract_x
_atom_site_fract_y
_atom_site_fract_z
_atom_site_occupancy
Ac1 Ac 0.0000 0.8306 0.6613 1
Ac2 Ac 0.0000 0.1694 0.3387 1
Tl1 Tl 0.5000 0.5733 0.1465 1
Tl2 Tl 0.5000 0.4267 0.8535 1
Tl3 Tl 0.0000 0.0000 0.0000 1
Pd1 Pd 0.5000 0.7088 0.4176 1
Pd2 Pd 0.5000 0.2912 0.5824 1
```

Calculated values
The energy above the most stable polymorph in this dataset is 0 meV/atom. Its space group is Cmmm (65). For the total energy, the calculation gives -4.196 eV/atom. The calculation puts the energy of formation from the pure elements at -524 meV/atom.

Entry 9:
Computed, not measured: an optimized crystal structure of AcTl3Pd3 at the PBE-GGA level of DFT.

Cell and atoms, written as CIF:
```
data_AcTl3Pd3
_chemical_formula_sum 'Ac2 Tl6 Pd6'
_space_group_name_H-M_alt 'P 1'
_space_group_IT_number 1
_cell_length_a 8.6452
_cell_length_b 8.6452
_cell_length_c 7.4893
_cell_angle_alpha 54.75
_cell_angle_beta 54.75
_cell_angle_gamma 60.00
loop_
_space_group_symop_operation_xyz
'x,y,z'
loop_
_atom_site_label
_atom_site_type_symbol
_atom_site_fract_x
_atom_site_fract_y
_atom_site_fract_z
_atom_site_occupancy
Ac1 Ac 0.3259 0.3259 0.0224 1
Ac2 Ac 0.6741 0.6741 0.9776 1
Tl1 Tl 0.4103 0.8196 0.6286 1
Tl2 Tl 0.8196 0.1414 0.6286 1
Tl3 Tl 0.1414 0.4103 0.6286 1
Tl4 Tl 0.8586 0.5897 0.3714 1
Tl5 Tl 0.1804 0.8586 0.3714 1
Tl6 Tl 0.5897 0.1804 0.3714 1
Pd1 Pd 0.2483 0.6551 0.1337 1
Pd2 Pd 0.9629 0.2483 0.1337 1
Pd3 Pd 0.6551 0.9629 0.1337 1
Pd4 Pd 0.3449 0.0371 0.8663 1
Pd5 Pd 0.0371 0.7517 0.8663 1
Pd6 Pd 0.7517 0.3449 0.8663 1
```

Calculated values
The energy above the most stable polymorph in this dataset is 58 meV/atom. Its space group is R-3 (148). For the total energy, the calculation gives -4.137 eV/atom. The calculation puts the energy of formation from the pure elements at -311 meV/atom.

Entry 10:
Computed, not measured: an optimized crystal structure of AcTl3Pd3 at the PBE-GGA level of DFT.

Cell and atoms, written as CIF:
```
data_AcTl3Pd3
_chemical_formula_sum 'Ac2 Tl6 Pd6'
_space_group_name_H-M_alt 'P 1'
_space_group_IT_number 1
_cell_length_a 4.5848
_cell_length_b 9.3910
_cell_length_c 9.3914
_cell_angle_alpha 120.00
_cell_angle_beta 90.00
_cell_angle_gamma 90.00
loop_
_space_group_symop_operation_xyz
'x,y,z'
loop_
_atom_site_label
_atom_site_type_symbol
_atom_site_fract_x
_atom_site_fract_y
_atom_site_fract_z
_atom_site_occupancy
Ac1 Ac 0.7500 0.3333 0.6667 1
Ac2 Ac 0.2500 0.6667 0.3333 1
Tl1 Tl 0.7500 0.7629 0.0479 1
Tl2 Tl 0.7500 0.2850 0.2372 1
Tl3 Tl 0.7500 0.9521 0.7150 1
Tl4 Tl 0.2500 0.2371 0.9521 1
Tl5 Tl 0.2500 0.7150 0.7628 1
Tl6 Tl 0.2500 0.0479 0.2850 1
Pd1 Pd 0.7500 0.9455 0.3973 1
Pd2 Pd 0.7500 0.4517 0.0545 1
Pd3 Pd 0.7500 0.6027 0.5482 1
Pd4 Pd 0.2500 0.0545 0.6027 1
Pd5 Pd 0.2500 0.5483 0.9455 1
Pd6 Pd 0.2500 0.3973 0.4518 1
```

Calculated values
The energy above the most stable polymorph in this dataset is 0 meV/atom. Its space group is P6_3/m (176). For the total energy, the calculation gives -4.195 eV/atom. The calculation puts the energy of formation from the pure elements at -369 meV/atom.

Number 10 is which compound? AcTl3Pd3